# 1
! La2PuAu3, optimized geometry, DFT GGA-PBE; values from VASP
&SYSTEM
  ibrav = 0, nat = 6, ntyp = 3
/
ATOMIC_SPECIES
La 138.91 La.upf
Au 196.97 Au.upf
Pu 244.00 Pu.upf
ATOMIC_POSITIONS angstrom
La 0.654 1.674 2.726
Au 2.701 6.923 0.364
Au 1.383 3.545 0.187
Pu 1.996 5.113 2.907
Au 0.000 0.000 0.000
La 3.338 8.553 3.088
CELL_PARAMETERS angstrom
-2.500 0.837 2.632
2.408 -1.078 2.630
4.085 10.468 0.551
! Space-group type = No. 123

# 2
! Sc2CdHg5, optimized geometry, DFT GGA-PBE; values from VASP
&SYSTEM
  ibrav = 0, nat = 8, ntyp = 3
/
ATOMIC_SPECIES
Hg 200.59 Hg.upf
Sc 44.96 Sc.upf
Cd 112.41 Cd.upf
ATOMIC_POSITIONS angstrom
Hg -2.699 -0.168 4.168
Sc -3.236 1.350 1.338
Hg 1.822 2.878 3.072
Cd -0.025 1.643 0.886
Hg 1.285 4.397 0.241
Hg -1.391 2.586 3.525
Hg -1.928 4.104 0.693
Sc 0.512 0.125 3.716
CELL_PARAMETERS angstrom
-6.422 -0.585 0.904
1.073 -3.036 5.660
2.618 5.508 -1.288
! Space-group type = No. 139

Number 1: total moment 5.797 μB per formula unit, uncorrected energy -37.93 eV/cell. Number 2: total moment 0.000 μB per formula unit, uncorrected energy -16.82 eV/cell.